## 1
The following is a DFT calculation (SCAN) of a PBEsol-optimized structure of LaOs2W2.

* N(E_F): 2.73 states/eV/cell
* total magnetization: 0.00 μB per cell
* volume: 19.87 A^3/atom
* symmetry: I4/mmm, No. 139

Unit cell a=4.345 b=4.345 c=6.094 alpha=110.89 beta=110.89 gamma=90.00
Positions (direct):
La  0.000  0.000  0.000
Os  0.373  0.373  0.745
Os  0.627  0.627  0.255
W  0.750  0.250  0.500
W  0.250  0.750  0.500

***

## 2
The following is a DFT calculation (SCAN) of a PBEsol-optimized structure of LaOs2W2.

* N(E_F): 3.94 states/eV/cell
* total magnetization: 0.00 μB per cell
* volume: 19.86 A^3/atom
* symmetry: I4/mmm, No. 139

Unit cell a=4.292 b=4.292 c=6.186 alpha=110.30 beta=110.30 gamma=90.00
Positions (direct):
Os  0.750  0.250  0.500
Os  0.250  0.750  0.500
W  0.626  0.626  0.253
W  0.374  0.374  0.747
La  0.000  0.000  0.000

***

Which structure wins on stability? 1 wins.

***

## 1
The following is a DFT calculation (SCAN) of a PBEsol-optimized structure of LaZr2Os.

* N(E_F): 3.77 states/eV/cell
* total magnetization: 0.00 μB per cell
* volume: 19.94 A^3/atom
* symmetry: P4/mmm, No. 123

Unit cell a=3.272 b=4.937 c=4.937 alpha=90.00 beta=90.00 gamma=90.00
Positions (direct):
Os  0.500  0.000  0.000
Zr  0.000  0.500  0.000
Zr  0.000  0.000  0.500
La  0.500  0.500  0.500

***

## 2
The following is a DFT calculation (SCAN) of a PBEsol-optimized structure of LaZr2Os.

* N(E_F): 3.97 states/eV/cell
* total magnetization: 0.00 μB per cell
* volume: 21.90 A^3/atom
* symmetry: R3m, No. 160

Unit cell a=3.233 b=3.233 c=9.853 alpha=80.56 beta=80.56 gamma=60.00
Positions (direct):
Zr  0.744  0.744  0.768
Zr  0.990  0.990  0.029
Os  0.257  0.257  0.230
La  0.509  0.509  0.473

***

Which structure wins on stability? 1 wins.

***

## 1
The following is a DFT calculation (SCAN) of a PBEsol-optimized structure of La3P.

* N(E_F): 2.21 states/eV/cell
* total magnetization: 0.00 μB per cell
* volume: 31.81 A^3/atom
* symmetry: P-6m2, No. 187

Unit cell a=3.945 b=3.945 c=9.443 alpha=90.00 beta=90.00 gamma=120.00
Positions (direct):
La  0.000  0.000  0.309
La  0.333  0.667  0.000
La  0.000  0.000  0.691
P  0.333  0.667  0.500

***

## 2
The following is a DFT calculation (SCAN) of a PBEsol-optimized structure of La3P.

* N(E_F): 12.78 states/eV/cell
* total magnetization: 0.00 μB per cell
* volume: 27.83 A^3/atom
* symmetry: Pnma, No. 62

Unit cell a=6.122 b=7.665 c=9.491 alpha=90.00 beta=90.00 gamma=90.00
Positions (direct):
La  0.127  0.039  0.750
La  0.622  0.195  0.543
La  0.627  0.461  0.250
La  0.878  0.695  0.957
La  0.378  0.805  0.457
La  0.878  0.695  0.543
La  0.373  0.539  0.750
La  0.122  0.305  0.043
La  0.378  0.805  0.043
La  0.873  0.961  0.250
La  0.622  0.195  0.957
La  0.122  0.305  0.457
P  0.095  0.602  0.250
P  0.905  0.398  0.750
P  0.405  0.102  0.250
P  0.595  0.898  0.750

***

Which structure wins on stability? 2 wins.

***

## 1
The following is a DFT calculation (SCAN) of a PBEsol-optimized structure of La5P3.

* N(E_F): 15.80 states/eV/cell
* total magnetization: 0.00 μB per cell
* volume: 25.90 A^3/atom
* symmetry: P6_3/mcm, No. 193

Unit cell a=6.250 b=8.749 c=8.749 alpha=120.00 beta=90.00 gamma=90.00
Positions (direct):
P  0.750  0.379  0.379
P  0.250  0.379  0.000
P  0.250  0.621  0.621
P  0.750  0.000  0.621
P  0.750  0.621  0.000
P  0.250  0.000  0.379
La  0.000  0.333  0.667
La  0.250  0.263  0.263
La  0.500  0.333  0.667
La  0.500  0.667  0.333
La  0.250  0.737  0.000
La  0.750  0.263  0.000
La  0.750  0.737  0.737
La  0.000  0.667  0.333
La  0.250  0.000  0.737
La  0.750  0.000  0.263

***

## 2
The following is a DFT calculation (SCAN) of a PBEsol-optimized structure of La5P3.

* N(E_F): 6.03 states/eV/cell
* total magnetization: 0.00 μB per cell
* volume: 25.55 A^3/atom
* symmetry: Cmmm, No. 65

Unit cell a=4.540 b=6.924 c=6.924 alpha=110.11 beta=90.00 gamma=90.00
Positions (direct):
La  0.000  0.000  0.500
La  0.000  0.500  0.000
La  0.500  0.722  0.722
La  0.000  0.000  0.000
La  0.500  0.278  0.278
P  0.500  0.816  0.184
P  0.000  0.500  0.500
P  0.500  0.184  0.816

***

Which structure wins on stability? 1 wins.

***

## 1
The following is a DFT calculation (SCAN) of a PBEsol-optimized structure of La2SbP.

* N(E_F): 0.24 states/eV/cell
* total magnetization: 0.00 μB per cell
* volume: 30.22 A^3/atom
* symmetry: P4/mmm, No. 123

Unit cell a=4.404 b=4.404 c=6.234 alpha=90.00 beta=90.00 gamma=90.00
Positions (direct):
Sb  0.000  0.000  0.500
La  0.000  0.000  0.000
La  0.500  0.500  0.500
P  0.500  0.500  0.000

***

## 2
The following is a DFT calculation (SCAN) of a PBEsol-optimized structure of La2SbP.

* N(E_F): 0.51 states/eV/cell
* total magnetization: 0.00 μB per cell
* volume: 28.59 A^3/atom
* symmetry: Amm2, No. 38

Unit cell a=4.172 b=4.651 c=6.250 alpha=90.00 beta=109.50 gamma=90.00
Positions (direct):
P  0.498  0.500  0.996
Sb  0.265  0.000  0.531
La  0.996  0.000  0.991
La  0.741  0.500  0.482

***

Which structure wins on stability? 1 wins.

***

## 1
The following is a DFT calculation (SCAN) of a PBEsol-optimized structure of LaTaP2.

* N(E_F): 2.51 states/eV/cell
* total magnetization: 0.00 μB per cell
* volume: 20.22 A^3/atom
* symmetry: Immm, No. 71

Unit cell a=3.821 b=5.085 c=5.085 alpha=66.37 beta=67.93 gamma=67.93
Positions (direct):
P  0.713  0.287  0.287
P  0.287  0.713  0.713
Ta  0.000  0.500  0.500
La  0.500  0.000  0.000

***

## 2
The following is a DFT calculation (SCAN) of a PBEsol-optimized structure of LaTaP2.

* N(E_F): 2.53 states/eV/cell
* total magnetization: 1.24 μB per cell
* volume: 18.06 A^3/atom
* symmetry: F-43m, No. 216

Unit cell a=4.675 b=4.675 c=4.675 alpha=60.00 beta=60.00 gamma=60.00
Site moments in Bohr magnetons follow the coordinates.
Positions (direct):
La  0.500  0.500  0.500  0.28
P  0.000  0.000  0.000  -0.05
P  0.750  0.750  0.750  -0.11
Ta  0.250  0.250  0.250  0.85

***

## 3
The following is a DFT calculation (SCAN) of a PBEsol-optimized structure of LaTaP2.

* N(E_F): 6.95 states/eV/cell
* total magnetization: 0.00 μB per cell
* volume: 26.83 A^3/atom
* symmetry: I-42d, No. 122

Unit cell a=5.992 b=5.992 c=7.327 alpha=114.13 beta=114.13 gamma=90.00
Positions (direct):
P  0.625  0.692  0.750
P  0.125  0.058  0.750
P  0.942  0.375  0.250
P  0.308  0.875  0.250
Ta  0.000  0.000  0.000
Ta  0.250  0.750  0.500
La  0.500  0.500  0.000
La  0.750  0.250  0.500

***

Which structure wins on stability? 1 wins.

***

## 1
The following is a DFT calculation (SCAN) of a PBEsol-optimized structure of LaTlP.

* N(E_F): 1.65 states/eV/cell
* total magnetization: 0.00 μB per cell
* volume: 32.06 A^3/atom
* symmetry: I4mm, No. 107

Unit cell a=4.091 b=4.092 c=6.432 alpha=108.55 beta=108.54 gamma=90.00
Positions (direct):
La  0.070  0.070  0.139
Tl  0.349  0.349  0.698
P  0.581  0.581  0.163

***

## 2
The following is a DFT calculation (SCAN) of a PBEsol-optimized structure of LaTlP.

* N(E_F): 3.31 states/eV/cell
* total magnetization: 0.00 μB per cell
* volume: 25.13 A^3/atom
* symmetry: P6_3/mmc, No. 194

Unit cell a=4.676 b=4.676 c=7.961 alpha=90.00 beta=90.00 gamma=120.00
Positions (direct):
P  0.333  0.667  0.250
P  0.667  0.333  0.750
Tl  0.667  0.333  0.250
Tl  0.333  0.667  0.750
La  0.000  0.000  0.500
La  0.000  0.000  0.000

***

Which structure wins on stability? 1 wins.

***

## 1
The following is a DFT calculation (SCAN) of a PBEsol-optimized structure of LaY2P.

* N(E_F): 2.86 states/eV/cell
* total magnetization: 0.00 μB per cell
* volume: 24.81 A^3/atom
* symmetry: F-43m, No. 216

Unit cell a=5.197 b=5.197 c=5.197 alpha=60.00 beta=60.00 gamma=60.00
Positions (direct):
La  0.500  0.500  0.500
P  0.250  0.250  0.250
Y  0.750  0.750  0.750
Y  0.000  0.000  0.000

***

## 2
The following is a DFT calculation (SCAN) of a PBEsol-optimized structure of LaY2P.

* N(E_F): 3.95 states/eV/cell
* total magnetization: 0.00 μB per cell
* volume: 26.96 A^3/atom
* symmetry: Immm, No. 71

Unit cell a=3.641 b=5.220 c=6.505 alpha=113.66 beta=106.25 gamma=90.00
Positions (direct):
Y  0.687  0.687  0.374
Y  0.313  0.313  0.626
La  0.500  0.000  0.000
P  0.000  0.500  0.000

***

## 3
The following is a DFT calculation (SCAN) of a PBEsol-optimized structure of LaY2P.

* N(E_F): 3.34 states/eV/cell
* total magnetization: 0.01 μB per cell
* volume: 28.67 A^3/atom
* symmetry: R-3m, No. 166

Unit cell a=3.778 b=3.778 c=9.529 alpha=78.57 beta=78.57 gamma=60.00
Positions (direct):
Y  0.725  0.725  0.826
Y  0.275  0.275  0.174
La  0.500  0.500  0.500
P  0.000  0.000  0.000

***

Which structure wins on stability? 3 wins.

***

## 1
The following is a DFT calculation (SCAN) of a PBEsol-optimized structure of LaYP2.

* N(E_F): 0.23 states/eV/cell
* total magnetization: 0.00 μB per cell
* volume: 24.39 A^3/atom
* symmetry: P4/mmm, No. 123

Unit cell a=4.106 b=4.106 c=5.788 alpha=90.00 beta=90.00 gamma=90.00
Positions (direct):
P  0.500  0.500  0.000
P  0.000  0.000  0.500
Y  0.000  0.000  0.000
La  0.500  0.500  0.500

***

## 2
The following is a DFT calculation (SCAN) of a PBEsol-optimized structure of LaYP2.

* N(E_F): 0.26 states/eV/cell
* total magnetization: 0.00 μB per cell
* volume: 24.25 A^3/atom
* symmetry: R-3m, No. 166

Unit cell a=4.094 b=4.094 c=7.087 alpha=73.21 beta=73.21 gamma=60.00
Positions (direct):
La  0.000  0.000  0.000
P  0.245  0.245  0.264
P  0.755  0.755  0.736
Y  0.500  0.500  0.500

***

Which structure wins on stability? 2 wins.

***

## 1
The following is a DFT calculation (SCAN) of a PBEsol-optimized structure of LaPtPb2.

* N(E_F): 2.46 states/eV/cell
* total magnetization: 0.00 μB per cell
* volume: 24.23 A^3/atom
* symmetry: Fm-3m, No. 225

Unit cell a=5.156 b=5.156 c=5.156 alpha=60.00 beta=60.00 gamma=60.00
Positions (direct):
Pb  0.750  0.750  0.750
Pb  0.250  0.250  0.250
La  0.000  0.000  0.000
Pt  0.500  0.500  0.500

***

## 2
The following is a DFT calculation (SCAN) of a PBEsol-optimized structure of LaPtPb2.

* N(E_F): 1.21 states/eV/cell
* total magnetization: 0.00 μB per cell
* volume: 25.31 A^3/atom
* symmetry: R-3m, No. 166

Unit cell a=4.616 b=4.616 c=6.099 alpha=67.77 beta=67.77 gamma=60.00
Positions (direct):
La  0.000  0.000  0.000
Pb  0.773  0.773  0.681
Pb  0.227  0.227  0.319
Pt  0.500  0.500  0.500

***

Which structure wins on stability? 2 wins.

***

## 1
The following is a DFT calculation (SCAN) of a PBEsol-optimized structure of La3RuPb.

* N(E_F): 2.07 states/eV/cell
* total magnetization: 0.00 μB per cell
* volume: 31.10 A^3/atom
* symmetry: Pm-3m, No. 221

Unit cell a=5.377 b=5.377 c=5.377 alpha=90.00 beta=90.00 gamma=90.00
Positions (direct):
La  0.000  0.000  0.500
La  0.000  0.500  0.000
La  0.500  0.000  0.000
Ru  0.000  0.000  0.000
Pb  0.500  0.500  0.500

***

## 2
The following is a DFT calculation (SCAN) of a PBEsol-optimized structure of La3RuPb.

* N(E_F): 4.86 states/eV/cell
* total magnetization: 0.00 μB per cell
* volume: 30.94 A^3/atom
* symmetry: R-3c, No. 167

Unit cell a=7.518 b=7.518 c=7.518 alpha=61.34 beta=61.34 gamma=61.34
Positions (direct):
La  0.750  0.307  0.193
La  0.250  0.693  0.807
La  0.307  0.193  0.750
La  0.693  0.807  0.250
La  0.193  0.750  0.307
La  0.807  0.250  0.693
Pb  0.250  0.250  0.250
Pb  0.750  0.750  0.750
Ru  0.000  0.000  0.000
Ru  0.500  0.500  0.500

***

Which structure wins on stability? 2 wins.

***

## 1
The following is a DFT calculation (SCAN) of a PBEsol-optimized structure of La2PbSe.

* N(E_F): 0.57 states/eV/cell
* total magnetization: 0.00 μB per cell
* volume: 29.83 A^3/atom
* symmetry: Amm2, No. 38

Unit cell a=4.110 b=4.851 c=6.328 alpha=90.00 beta=108.95 gamma=90.00
Positions (direct):
La  0.997  0.500  0.993
La  0.248  0.000  0.495
Pb  0.511  0.000  0.022
Se  0.745  0.500  0.490

***

## 2
The following is a DFT calculation (SCAN) of a PBEsol-optimized structure of La2PbSe.

* N(E_F): 1.50 states/eV/cell
* total magnetization: 0.00 μB per cell
* volume: 31.01 A^3/atom
* symmetry: R-3m, No. 166

Unit cell a=4.447 b=4.447 c=7.684 alpha=73.18 beta=73.18 gamma=60.00
Positions (direct):
Pb  0.500  0.500  0.500
La  0.255  0.255  0.235
La  0.745  0.745  0.765
Se  0.000  0.000  0.000

***

## 3
The following is a DFT calculation (SCAN) of a PBEsol-optimized structure of La2PbSe.

* N(E_F): 0.88 states/eV/cell
* total magnetization: 0.00 μB per cell
* volume: 31.20 A^3/atom
* symmetry: P4/mmm, No. 123

Unit cell a=4.452 b=4.452 c=6.296 alpha=90.00 beta=90.00 gamma=90.00
Positions (direct):
Se  0.000  0.000  0.500
Pb  0.500  0.500  0.000
La  0.000  0.000  0.000
La  0.500  0.500  0.500

***

## 4
The following is a DFT calculation (SCAN) of a PBEsol-optimized structure of La2PbSe.

* N(E_F): 2.73 states/eV/cell
* total magnetization: 0.00 μB per cell
* volume: 27.01 A^3/atom
* symmetry: F-43m, No. 216

Unit cell a=5.346 b=5.346 c=5.346 alpha=60.00 beta=60.00 gamma=60.00
Positions (direct):
Se  0.250  0.250  0.250
La  0.000  0.000  0.000
La  0.750  0.750  0.750
Pb  0.500  0.500  0.500

***

Which structure wins on stability? 3 wins.